Entry from Alexandria via LeMat-Bulk: Ca2NiB2O6 after structural relaxation (GGA+U).

total DFT energy (no corrections): -6.87 eV per atom
N(E_F): 0.00 states/eV/cell

abc: 5.1899 5.1899 5.6146
angles: 90.00 90.00 120.00
Fractional coordinates of all 11 atoms:
Ca1 0.3333 0.6667 0.2997
Ca2 0.6667 0.3333 0.7003
Ni1 0.0000 0.0000 0.0000
B1 0.3333 0.6667 0.7890
B2 0.6667 0.3333 0.2110
O1 0.1141 0.3706 0.7781
O2 0.2565 0.8859 0.7781
O3 0.3706 0.2565 0.2219
O4 0.6294 0.7435 0.7781
O5 0.7435 0.1141 0.2219
O6 0.8859 0.6294 0.2219